DFT (PBE) results for a geometry-optimized TiZn2Pd4 structure.

Values from the calculation:
DFT formation energy = -0.492 eV per atom
Final energy = -4.951 eV per atom

Lattice parameters (Å, degrees): 5.3292 6.6422 7.3033 117.86 97.88 104.78
Sites, in units of the cell vectors:
Ti1 0.3119 0.6195 0.4774
Ti2 0.1226 0.9521 0.0329
Zn1 0.7126 0.4766 0.8700
Zn2 0.4662 0.7597 0.1891
Zn3 0.5976 0.3597 0.1687
Zn4 0.1784 0.4448 0.7570
Pd1 0.8990 0.1912 0.3399
Pd2 0.0602 0.3375 0.0529
Pd3 0.8716 0.6437 0.6153
Pd4 0.7351 0.0166 0.6034
Pd5 0.4225 0.2241 0.4427
Pd6 0.2943 0.0762 0.7511
Pd7 0.5839 0.8674 0.9023
Pd8 0.9940 0.7810 0.2974


DFT (PBE) results for a geometry-optimized CaThCu10 structure.

Values from the calculation:
DFT formation energy = -0.133 eV per atom
Final energy = -4.331 eV per atom

Lattice parameters (Å, degrees): 4.0921 5.1384 8.7528 90.00 90.00 90.00
Sites, in units of the cell vectors:
Ca1 0.0000 0.0000 0.0000
Th1 0.0000 0.5000 0.5000
Cu1 0.0000 0.0000 0.3313
Cu2 0.0000 0.5000 0.8371
Cu3 0.0000 0.5000 0.1629
Cu4 0.0000 0.0000 0.6687
Cu5 0.5000 0.0000 0.5000
Cu6 0.5000 0.5000 0.0000
Cu7 0.5000 0.2533 0.2533
Cu8 0.5000 0.7467 0.7467
Cu9 0.5000 0.7467 0.2533
Cu10 0.5000 0.2533 0.7467


DFT (PBE) results for a geometry-optimized PbSeS3 structure.

Values from the calculation:
Final energy = -2.923 eV per atom
Polymorph energy (0 for the lowest one) = 1064 meV per atom
Formation energy (no corrections) = 0.99 eV per atom

Lattice parameters (Å, degrees): 5.2269 5.2269 5.2269 90.00 90.00 90.00
Sites, in units of the cell vectors:
Pb1 0.0000 0.0000 0.0000
Se1 0.5000 0.5000 0.5000
S1 0.0000 0.5000 0.0000
S2 0.0000 0.0000 0.5000
S3 0.5000 0.0000 0.0000


DFT (PBE) results for a geometry-optimized Ca3LaRh structure.

Values from the calculation:
DFT formation energy = 1.424 eV per atom
Final energy = -2.233 eV per atom
Polymorph energy (0 for the lowest one) = 1720 meV per atom

Lattice parameters (Å, degrees): 5.5328 5.5328 5.5328 90.00 90.00 90.00
Sites, in units of the cell vectors:
Ca1 0.0000 0.5000 0.0000
Ca2 0.0000 0.0000 0.5000
Ca3 0.5000 0.0000 0.0000
Rh1 0.5000 0.5000 0.5000
La1 0.0000 0.0000 0.0000


DFT (PBE) results for a geometry-optimized Er2ScTl2 structure.

Values from the calculation:
DFT formation energy = -0.223 eV per atom
Final energy = -4.261 eV per atom
Polymorph energy (0 for the lowest one) = 0 meV per atom

Lattice parameters (Å, degrees): 4.6157 6.0373 6.0373 66.40 67.53 67.53
Sites, in units of the cell vectors:
Er1 0.1962 0.3038 0.3038
Er2 0.8038 0.6962 0.6962
Sc1 0.0000 0.0000 0.0000
Tl1 0.5000 0.2730 0.7270
Tl2 0.5000 0.7270 0.2730


DFT (PBE) results for a geometry-optimized Nb2Cr3Si structure.

Values from the calculation:
Final energy = -9.413 eV per atom
Formation energy (no corrections) = -0.34 eV per atom

Lattice parameters (Å, degrees): 4.8472 4.8472 4.9675 89.97 119.21 120.03
Sites, in units of the cell vectors:
Nb1 0.7531 0.3767 0.1299
Nb2 0.2469 0.6233 0.8701
Cr1 0.5000 0.5000 0.5000
Cr2 0.0000 0.0000 0.5000
Cr3 0.5000 0.0000 0.5000
Si1 0.0000 0.0000 0.0000